Below is NaDyHgS3 after structural relaxation, with properties calculated at the PBE-GGA level.

Calculated values
Total DFT energy (no corrections), Ry per atom: -0.3121

Cell: 10.816 4.040 13.303 Å, 90.00 90.00 90.00°
Atoms (fractional coordinates):
Na (0.205, 0.250, 0.012)
Na (0.295, 0.750, 0.512)
Na (0.705, 0.250, 0.488)
Na (0.795, 0.750, 0.988)
Dy (0.010, 0.750, 0.262)
Dy (0.490, 0.250, 0.762)
Dy (0.510, 0.750, 0.238)
Dy (0.990, 0.250, 0.738)
Hg (0.239, 0.750, 0.797)
Hg (0.261, 0.250, 0.297)
Hg (0.739, 0.750, 0.703)
Hg (0.761, 0.250, 0.203)
S (0.032, 0.750, 0.879)
S (0.066, 0.250, 0.394)
S (0.237, 0.250, 0.669)
S (0.263, 0.750, 0.169)
S (0.434, 0.750, 0.894)
S (0.468, 0.250, 0.379)
S (0.532, 0.750, 0.621)
S (0.566, 0.250, 0.106)
S (0.737, 0.250, 0.831)
S (0.763, 0.750, 0.331)
S (0.934, 0.750, 0.606)
S (0.968, 0.250, 0.121)



Below is NaDyHgS3 after structural relaxation, with properties calculated at the PBE-GGA level.

Calculated values
Total DFT energy (no corrections), Ry per atom: -0.3114

Cell: 8.737 8.737 8.794 Å, 104.94 104.94 26.26°
Atoms (fractional coordinates):
Na (0.133, 0.133, 0.072)
Na (0.867, 0.867, 0.928)
Dy (0.175, 0.175, 0.595)
Dy (0.825, 0.825, 0.405)
Hg (0.483, 0.483, 0.275)
Hg (0.517, 0.517, 0.725)
S (0.000, 0.000, 0.500)
S (0.323, 0.323, 0.191)
S (0.336, 0.336, 0.627)
S (0.500, 0.500, 0.000)
S (0.664, 0.664, 0.373)
S (0.677, 0.677, 0.809)



Below is NaDyHgS3 after structural relaxation, with properties calculated at the PBE-GGA level.

Calculated values
Total DFT energy (no corrections), Ry per atom: -0.3132

Cell: 7.873 4.065 10.402 Å, 90.00 106.33 90.00°
Atoms (fractional coordinates):
Na (0.188, 0.250, 0.159)
Na (0.812, 0.750, 0.841)
Dy (0.329, 0.750, 0.857)
Dy (0.671, 0.250, 0.143)
Hg (0.079, 0.250, 0.615)
Hg (0.921, 0.750, 0.385)
S (0.082, 0.250, 0.860)
S (0.255, 0.750, 0.568)
S (0.436, 0.750, 0.131)
S (0.564, 0.250, 0.869)
S (0.745, 0.250, 0.432)
S (0.918, 0.750, 0.140)



Short version: energy above the most stable polymorph in this dataset = 0.65; 0.87; 0.29 kcal/mol of atoms, in the order given.